1.
Entry from Alexandria via LeMat-Bulk: a geometry-optimized LaFe2Pt structure (PBE-GGA).

DFT total energy in eV per cell: -77.83
Size of the total moment in μB/f.u.: 5.55
Calculated density in g cm⁻³: 10.53

Cell lengths 2.9095, 2.9095, 28.7682 Å; angles 90.00, 90.00, 120.00 degrees
Closest atoms and distances in Å follow each position.
Space group R-3m (No. 166, hexagonal axes)
One atom of each set of equivalent atoms:
1 La 0.0000 0.0000 0.0000 (multiplicity 3)  6 La 2.91, 6 Fe 3.19
2 Fe 0.0000 0.0000 0.2391 (multiplicity 6)  3 Pt 2.68, 6 Fe 2.91
3 Pt 0.0000 0.0000 0.5000 (multiplicity 3)  6 Fe 2.68, 6 Pt 2.91


2.
Entry from Alexandria via LeMat-Bulk: a geometry-optimized BiO3F structure (PBE-GGA).

DFT total energy in eV per cell: -20.25
Size of the total moment in μB/f.u.: 2.15
Calculated density in g cm⁻³: 6.48
Raw formation energy in eV per atom: 0.08

Cell lengths 4.1350, 4.1350, 4.1350 Å; angles 90.00, 90.00, 90.00 degrees
Closest atoms and distances in Å follow each position.
Space group Pm-3m (No. 221)
One atom of each set of equivalent atoms:
1 Bi 0.0000 0.0000 0.0000 (multiplicity 1)  6 O 2.07
2 O 0.0000 0.0000 0.5000 (multiplicity 3)  2 Bi 2.07
3 F 0.5000 0.5000 0.5000 (multiplicity 1)  12 O 2.92


3.
Entry from Alexandria via LeMat-Bulk: a geometry-optimized RbCd2Bi2Pb2 structure (PBE-GGA).

DFT total energy in eV per cell: -54.79
Size of the total moment in μB/f.u.: 0.00
Calculated density in g cm⁻³: 7.33

Cell lengths 5.5123, 5.5123, 29.5290 Å; angles 90.00, 90.00, 120.00 degrees
Closest atoms and distances in Å follow each position.
Space group R-3m (No. 166, hexagonal axes)
One atom of each set of equivalent atoms:
1 Rb 0.0000 0.0000 0.0000 (multiplicity 3)  6 Cd 3.88, 2 Pb 3.97, 6 Bi 4.16
2 Cd 0.0000 0.0000 0.4088 (multiplicity 6)  3 Bi 3.21
3 Bi 0.0000 0.0000 0.2428 (multiplicity 6)  4 Pb 3.20-3.44, 3 Cd 3.21
4 Pb 0.0000 0.0000 0.1344 (multiplicity 6)  4 Bi 3.20-3.44